*1*
A relaxed structure of NiSn3Sb. Source: Alexandria, functional PBE.

Results
Total magnetic moment in μB per cell: 0.0

Unit cell a=6.8435 b=6.8435 c=6.9458 alpha=104.40 beta=121.99 gamma=102.12
Atoms (fractional coordinates):
Ni 0.6074 0.7557 0.3632
Ni 0.3926 0.2443 0.6368
Sn 0.8237 0.0452 0.2721
Sn 0.2269 0.4484 0.2721
Sn 0.7731 0.5516 0.7279
Sn 0.7263 0.4577 0.1840
Sn 0.1763 0.9548 0.7279
Sn 0.2737 0.5423 0.8160
Sb 0.7251 0.0461 0.7713
Sb 0.2749 0.9539 0.2287


*2*
A relaxed structure of NiSn3Sb. Source: Alexandria, functional PBE.

Results
Total magnetic moment in μB per cell: 0.0

Unit cell a=5.0294 b=5.0294 c=5.0294 alpha=90.00 beta=90.00 gamma=90.00
Atoms (fractional coordinates):
Sb 0.5000 0.5000 0.5000
Sn 0.0000 0.5000 0.0000
Sn 0.0000 0.0000 0.5000
Sn 0.5000 0.0000 0.0000
Ni 0.0000 0.0000 0.0000


Least stable = *2*


*1*
A relaxed structure of Ni3Sn5Sb. Source: Alexandria, functional PBE.

Results
Total magnetic moment in μB per cell: 0.0

Unit cell a=3.4209 b=6.5816 c=17.0127 alpha=90.60 beta=90.00 gamma=90.00
Atoms (fractional coordinates):
Ni 0.0000 0.0000 0.0000
Ni 0.0000 0.0058 0.6688
Ni 0.0000 0.9942 0.3312
Ni 0.5000 0.4953 0.8301
Ni 0.5000 0.5000 0.5000
Ni 0.5000 0.5047 0.1699
Sn 0.5000 0.8523 0.7652
Sn 0.5000 0.8462 0.0958
Sn 0.5000 0.8501 0.4316
Sn 0.0000 0.6514 0.9290
Sn 0.0000 0.6541 0.5987
Sn 0.0000 0.3459 0.4013
Sn 0.0000 0.3486 0.0710
Sn 0.5000 0.1538 0.9042
Sn 0.5000 0.1499 0.5684
Sn 0.5000 0.1477 0.2348
Sb 0.0000 0.6423 0.2674
Sb 0.0000 0.3577 0.7326


*2*
A relaxed structure of Ni3Sn5Sb. Source: Alexandria, functional PBE.

Results
Total magnetic moment in μB per cell: 0.0

Unit cell a=7.0952 b=7.0952 c=9.3429 alpha=69.92 beta=69.92 gamma=74.76
Atoms (fractional coordinates):
Ni 0.6665 0.6665 0.8350
Ni 0.6674 0.6674 0.3399
Ni 0.0000 0.0000 0.0000
Ni 0.0000 0.0000 0.5000
Ni 0.3335 0.3335 0.1650
Ni 0.3326 0.3326 0.6601
Sn 0.9607 0.3760 0.3308
Sn 0.2924 0.7076 0.0000
Sn 0.7603 0.7603 0.0345
Sn 0.4344 0.4344 0.3566
Sn 0.5656 0.5656 0.6434
Sn 0.2397 0.2397 0.9655
Sn 0.3760 0.9607 0.3308
Sn 0.7076 0.2924 0.0000
Sn 0.0393 0.6240 0.6692
Sn 0.6240 0.0393 0.6692
Sb 0.0958 0.0958 0.6970
Sb 0.9042 0.9042 0.3030


Least stable = *2*